A geometry-optimized Mg2BePb structure, computed with PBE.

The space group is Cmmm (No. 65) and the conventional cell measures 6.007, 8.313 and 3.360 Å, with angles of 90.00, 90.00 and 90.00 degrees. The inequivalent atoms are Mg at (0.250, 0.250, 0.000), Be at (0.000, 0.000, 0.500) and Pb at (0.000, 0.500, 0.500).

As for the calculated formation energy: 0.330 eV/atom. The calculation puts the energy at -9.3 eV per formula unit.